Entry 1:
YBiS2N: relaxed, PBE.

The structure in CIF format:
```
data_YBiS2N
_cell_length_a 5.2975
_cell_length_b 5.2975
_cell_length_c 4.1324
_cell_angle_alpha 90.00
_cell_angle_beta 90.00
_cell_angle_gamma 90.00
_symmetry_space_group_name_H-M 'P 4/m m m'
_symmetry_Int_Tables_number 123
_symmetry_space_group_name_Hall '-P 4 2'
loop_
_atom_site_label
_atom_site_type_symbol
_atom_site_fract_x
_atom_site_fract_y
_atom_site_fract_z
Y1 Y 0.0000 0.0000 0.0000
Bi1 Bi 0.5000 0.5000 0.5000
S1 S 0.0000 0.5000 0.0000
N1 N 0.0000 0.0000 0.5000
```

Computed properties:
* formation energy (no corrections): 0.022 eV per atom
* magnetic moment: 0.0 μB/f.u.
* calculated volume: 115.97 Å³/f.u.
* D(E_F): 6.1 states/eV per cell
* energy relative to the lowest polymorph listed for this composition: 0.0 meV/atom

---

Entry 2:
In3CoRe: relaxed, PBE.

The structure in CIF format:
```
data_In3CoRe
_cell_length_a 4.8487
_cell_length_b 4.8487
_cell_length_c 4.8487
_cell_angle_alpha 90.00
_cell_angle_beta 90.00
_cell_angle_gamma 90.00
_symmetry_space_group_name_H-M 'P m -3 m'
_symmetry_Int_Tables_number 221
_symmetry_space_group_name_Hall '-P 4 2 3'
loop_
_atom_site_label
_atom_site_type_symbol
_atom_site_fract_x
_atom_site_fract_y
_atom_site_fract_z
In1 In 0.0000 0.0000 0.5000
Co1 Co 0.0000 0.0000 0.0000
Re1 Re 0.5000 0.5000 0.5000
```

Computed properties:
* magnetic moment: 3.8 μB/f.u.
* calculated volume: 114.00 Å³/f.u.
* formation energy: 5.39 eV per formula unit
* D(E_F): 6.0 states/eV per cell
* energy relative to the lowest polymorph listed for this composition: 0.0 meV/atom